Entry from Alexandria via LeMat-Bulk: BiP3N after structural relaxation (GGA-PBE).

Cell lengths 4.3045, 4.3045, 4.3045 Å; angles 90.00, 90.00, 90.00 degrees
Element x y z (fractional)
Bi1 0.0000 0.0000 0.0000
P1 0.0000 0.5000 0.5000
P2 0.5000 0.0000 0.5000
P3 0.5000 0.5000 0.0000
N1 0.5000 0.5000 0.5000

## Properties
Total moment: 0.00 Bohr magnetons per cell
Space-group type: Pm-3m (221)
Relative energy among the computed polymorphs: 0.00 eV/f.u.
ρ: 6577 kg/m3
Uncorrected formation energy: 877 meV/atom

Entry from Alexandria via LeMat-Bulk: Na3Ce3GaS8 after structural relaxation (GGA-PBE).

Cell lengths 8.1293, 8.1293, 8.1293 Å; angles 59.32, 59.32, 59.32 degrees
Element x y z (fractional)
Na1 0.0000 0.5000 0.5000
Na2 0.5000 0.0000 0.5000
Na3 0.5000 0.5000 0.0000
Ce1 0.0000 0.0000 0.5000
Ce2 0.0000 0.5000 0.0000
Ce3 0.5000 0.0000 0.0000
Ga1 0.5000 0.5000 0.5000
S1 0.2445 0.2445 0.2445
S2 0.2619 0.7257 0.7257
S3 0.2743 0.2743 0.7381
S4 0.2743 0.7381 0.2743
S5 0.7257 0.2619 0.7257
S6 0.7257 0.7257 0.2619
S7 0.7381 0.2743 0.2743
S8 0.7555 0.7555 0.7555

## Properties
Total moment: 1.92 Bohr magnetons per cell
Space-group type: R-3m (166)
ρ: 3621 kg/m3
Uncorrected formation energy: -1477 meV/atom

Entry from Alexandria via LeMat-Bulk: YHf2GeOs after structural relaxation (GGA-PBE).

Cell lengths 4.8642, 4.8642, 5.1815 Å; angles 90.00, 90.00, 90.00 degrees
Element x y z (fractional)
Y1 0.0000 0.0000 0.0000
Hf1 0.0000 0.5000 0.5000
Hf2 0.5000 0.0000 0.5000
Ge1 0.0000 0.0000 0.5000
Os1 0.5000 0.5000 0.0000

## Properties
Total moment: 0.00 Bohr magnetons per cell
Space-group type: P4/mmm (123)
Energy of formation from the pure elements: 801 meV per atom
ρ: 9600 kg/m3

Entry from Alexandria via LeMat-Bulk: AcPm2Pt4 after structural relaxation (GGA-PBE).

Cell lengths 10.0404, 10.0404, 10.0404 Å; angles 156.66, 154.82, 34.60 degrees
Element x y z (fractional)
Ac1 0.0000 0.0000 0.0000
Pm1 0.3124 0.8124 0.5000
Pm2 0.6876 0.1876 0.5000
Pt1 0.1591 0.6591 0.5000
Pt2 0.4302 0.4302 0.0000
Pt3 0.5698 0.5698 0.0000
Pt4 0.8409 0.3409 0.5000

## Properties
Total moment: 0.00 Bohr magnetons per cell
Space-group type: Immm (71)
Energy of formation from the pure elements: -1133 meV per atom
ρ: 12638 kg/m3

Entry from Alexandria via LeMat-Bulk: Sr2GdTaCu2O8 after structural relaxation (GGA-PBE).

Cell lengths 3.9337, 3.9337, 11.7243 Å; angles 90.00, 90.00, 90.00 degrees
Element x y z (fractional)
Sr1 0.0000 0.0000 0.2013
Sr2 0.0000 0.0000 0.7987
Gd1 0.0000 0.0000 0.5000
Ta1 0.5000 0.5000 0.0000
Cu1 0.5000 0.5000 0.3610
Cu2 0.5000 0.5000 0.6390
O1 0.0000 0.5000 0.0000
O2 0.0000 0.5000 0.3733
O3 0.0000 0.5000 0.6267
O4 0.5000 0.0000 0.0000
O5 0.5000 0.0000 0.3733
O6 0.5000 0.0000 0.6267
O7 0.5000 0.5000 0.1692
O8 0.5000 0.5000 0.8308

## Properties
Total moment: 6.77 Bohr magnetons per cell
Space-group type: P4/mmm (123)
ρ: 7034 kg/m3
Uncorrected formation energy: -2370 meV/atom

Entry from Alexandria via LeMat-Bulk: Er2Tm3Pb after structural relaxation (GGA-PBE).

Cell lengths 7.7932, 7.7932, 4.8599 Å; angles 90.00, 90.00, 144.01 degrees
Element x y z (fractional)
Er1 0.1635 0.8365 0.0000
Er2 0.8365 0.1635 0.0000
Tm1 0.0000 0.0000 0.5000
Tm2 0.3292 0.6708 0.5000
Tm3 0.6708 0.3292 0.5000
Pb1 0.5000 0.5000 0.0000

## Properties
Total moment: 0.00 Bohr magnetons per cell
Space-group type: Cmmm (65)
Energy of formation from the pure elements: -177 meV per atom
Relative energy among the computed polymorphs: 0.00 eV/f.u.
ρ: 10039 kg/m3

> Number 3 is which compound?

YHf2GeOs

> Which value of ρ does entry 1 give?

6577 kg/m3

> total moment of number 5 (Sr2GdTaCu2O8)?

6.77 Bohr magnetons per cell

> Which of these has the highest ρ?

AcPm2Pt4